RuC | Alexandria via LeMat-Bulk | PBE-GGA | optimized geometry; energy = -7.963 eV per atom; ΔE to the lowest computed polymorph = 921 meV per atom; calculated formation energy = 1.29 eV per atom; symmetry = P6/mmm (191)
1.0
4.8923 0.0000 0.0000
-2.4462 4.2369 0.0000
0.0000 0.0000 3.0506
Ru C
3 3
Cartesian
0.0000 0.0000 0.0000 Ru
0.0000 2.8246 1.5253 Ru
2.4462 1.4123 1.5253 Ru
-1.2231 2.1184 0.0000 C
2.4462 0.0000 0.0000 C
1.2231 2.1184 0.0000 C